# 1
The following is a PBE calculation of a relaxed structure of DyEr2Ag, from the Alexandria database.

Values from the calculation:
polymorph energy (0 for the lowest one)	0.000	eV/atom

a = 3.5321 Å, b = 3.5321 Å, c = 8.8162 Å
α = 90.00°, β = 90.00°, γ = 90.00°
Atoms (fractional coordinates):
Dy (0.5000, 0.5000, 0.5000)
Ag (0.5000, 0.5000, 0.0000)
Er (0.0000, 0.0000, 0.7854)
Er (0.0000, 0.0000, 0.2146)

# 2
The following is a PBE calculation of a relaxed structure of GeIF2, from the Alexandria database.

Values from the calculation:
raw formation energy	-1.229	eV per atom
polymorph energy (0 for the lowest one)	0.303	eV/atom

a = 6.5427 Å, b = 6.5427 Å, c = 6.7423 Å
α = 60.97°, β = 60.97°, γ = 90.00°
Site moments in Bohr magnetons follow the coordinates.
Atoms (fractional coordinates):
I (0.0000, 0.0000, 0.0000)  0.47
I (0.7500, 0.2500, 0.5000)  0.47
Ge (0.5000, 0.5000, 0.0000)  0.01
Ge (0.2500, 0.7500, 0.5000)  0.01
F (0.3751, 0.1250, 0.2500)  0.00
F (0.3749, 0.6250, 0.2500)  0.00
F (0.3750, 0.6249, 0.7500)  0.00
F (0.8750, 0.6251, 0.7500)  0.00

# 3
The following is a PBE calculation of a relaxed structure of CdInOs2, from the Alexandria database.

Values from the calculation:
E_tot	-23.05	eV per cell

a = 2.8667 Å, b = 2.8667 Å, c = 9.4529 Å
α = 90.00°, β = 90.00°, γ = 117.50°
Atoms (fractional coordinates):
Cd (0.5000, 0.5000, 0.2500)
Os (0.0000, 0.0000, 0.9946)
Os (0.0000, 0.0000, 0.5054)
In (0.5000, 0.5000, 0.7500)